Density functional theory data (PBE-GGA) for TlCdPO2 after structural relaxation.

The structure belongs to space group P4/mmm (No. 123); the cell edges are 4.140, 4.140 and 5.565 Å and the angles 90.00°, 90.00° and 90.00°. The inequivalent atoms are Tl at (0.000, 0.000, 0.000), Cd at (0.500, 0.500, 0.500), P at (0.000, 0.000, 0.500) and O at (0.000, 0.500, 0.000).

The formation energy without anion corrections comes out at 0.388 eV per atom. For the total magnetization, the calculation gives 0.003 μB per atom. As for the total energy: -16.67 eV for the cell shown. For the theoretical density, the calculation gives 6.61 g/cm³. For the relative energy among the computed polymorphs, the calculation gives 0.082 eV/atom. For the volume, the calculation gives 95.38 Å³/cell.